# RbErW2O8 (meta-GGA SCAN, single point on PBEsol structure)
data_RbErW2O8
_chemical_formula_sum 'Rb2 Er2 W4 O16'
_cell_length_a 7.453
_cell_length_b 7.441
_cell_length_c 7.441
_cell_angle_alpha 91.35
_cell_angle_beta 117.68
_cell_angle_gamma 62.32
_space_group_name_H-M_alt 'P 1'
_space_group_IT_number 1
loop_
_space_group_symop_operation_xyz
'x,y,z'
loop_
_atom_site_label
_atom_site_fract_x
_atom_site_fract_y
_atom_site_fract_z
O1 0.122 0.939 0.377
O2 0.378 0.377 0.939
O3 0.556 0.760 0.380
O4 0.307 0.043 0.786
O5 0.967 0.370 0.411
O6 0.056 0.620 0.240
O7 0.693 0.957 0.214
O8 0.467 0.589 0.630
O9 0.622 0.623 0.061
O10 0.533 0.411 0.370
O11 0.878 0.061 0.623
O12 0.944 0.380 0.760
O13 0.193 0.786 0.043
O14 0.807 0.214 0.957
O15 0.444 0.240 0.620
O16 0.033 0.630 0.589
W1 0.771 0.694 0.301
W2 0.271 0.699 0.306
W3 0.229 0.306 0.699
W4 0.729 0.301 0.694
Rb1 0.250 0.200 0.200
Rb2 0.750 0.800 0.800
Er1 0.750 0.228 0.228
Er2 0.250 0.772 0.772
# Energy relative to the elements, uncorrected in kJ/mol of formula units: -3175.5
# Volume in A^3/atom: 13.07
# Space-group type: No. 15